(1)
First-principles (PBE-GGA) data for a relaxed structure of MoAuSe2, as listed in Alexandria.

abc: 3.1482 3.1482 29.9827
angles: 90.00 90.00 120.00
Closest atoms and distances in Å follow each position.
Space group R-3m (No. 166, hexagonal axes)
Symmetry-distinct sites (fractional):
Mo 0.0000 0.0000 0.0000  6 Se 2.55
Au 0.0000 0.0000 0.5000  6 Au 3.15
Se 0.0000 0.0000 0.2738  3 Mo 2.55

Calculated values
Formation energy from raw total energies (eV/f.u.): -0.546
Crystal system: trigonal


(2)
First-principles (PBE-GGA) data for a relaxed structure of KRe4Ir, as listed in Alexandria.

abc: 7.4718 7.4718 7.4718
angles: 90.00 90.00 90.00
Closest atoms and distances in Å follow each position.
Space group F-43m (No. 216)
Symmetry-distinct sites (fractional):
K 0.0000 0.0000 0.0000  12 Re 3.10, 4 Ir 3.24
Re 0.1258 0.1258 0.6258  6 Re 2.63-2.66
Ir 0.2500 0.2500 0.2500  12 Re 3.10, 4 K 3.24

Calculated values
Formation energy from the elements (eV/atom): 1.086
Crystal system: cubic


(3)
First-principles (PBE-GGA) data for a relaxed structure of TbCe2Ga2Pt7, as listed in Alexandria.

abc: 5.8271 5.7590 14.1555
angles: 90.00 98.85 90.00
Closest atoms and distances in Å follow each position.
Space group C2/m (No. 12)
Symmetry-distinct sites (fractional):
Tb 0.0000 0.0000 0.0000  12 Pt 2.88-2.96
Ce 0.1209 0.0000 0.3562  5 Pt 3.01-3.18, 4 Ga 3.17-3.31
Ga 0.0956 0.5000 0.2549  5 Pt 2.46-2.50
Pt 0.0000 0.5000 0.0000  4 Tb 2.88-2.91, 8 Pt 2.96
Pt 0.1338 0.5000 0.4307  1 Ga 2.46, 1 Pt 2.69
Pt 0.1924 0.2501 0.8470  2 Ga 2.49-2.50

Calculated values
Formation energy from the elements (eV/atom): -0.960
Crystal system: monoclinic


(4)
First-principles (PBE-GGA) data for a relaxed structure of NpNi2H8Pd, as listed in Alexandria.

abc: 4.5483 4.5483 16.0142
angles: 90.00 90.00 120.00
Closest atoms and distances in Å follow each position.
Space group R-3 (No. 148, hexagonal axes)
Symmetry-distinct sites (fractional):
Np 0.0000 0.0000 0.0000  6 H 2.29
Ni 0.0000 0.0000 0.2136  4 H 1.59-1.62
H 0.0000 0.0000 0.3128  1 Ni 1.59
H 0.0065 0.7042 0.1151  1 Ni 1.62, 1 Pd 1.78
Pd 0.0000 0.0000 0.5000  6 H 1.78

Calculated values
Energy (eV/atom): -4.74
Crystal system: trigonal


(5)
First-principles (PBE-GGA) data for a relaxed structure of Cr3NiP, as listed in Alexandria.

abc: 4.2158 4.2158 4.2158
angles: 90.00 90.00 90.00
Closest atoms and distances in Å follow each position.
Space group Pm-3m (No. 221)
Symmetry-distinct sites (fractional):
Cr 0.0000 0.0000 0.5000  2 P 2.11
Ni 0.5000 0.5000 0.5000  12 Cr 2.98
P 0.0000 0.0000 0.0000  6 Cr 2.11

Calculated values
Formation energy from the elements (eV/atom): 0.715
Crystal system: cubic


(6)
First-principles (PBE-GGA) data for a relaxed structure of CsAs3W, as listed in Alexandria.

abc: 5.0502 5.0502 5.0502
angles: 90.00 90.00 90.00
Closest atoms and distances in Å follow each position.
Space group Pm-3m (No. 221)
Symmetry-distinct sites (fractional):
Cs 0.0000 0.0000 0.0000  12 As 3.57
As 0.0000 0.5000 0.5000  2 W 2.53
W 0.5000 0.5000 0.5000  6 As 2.53

Calculated values
Formation energy from the elements (eV/atom): 0.126
Crystal system: cubic


(7)
First-principles (PBE-GGA) data for a relaxed structure of VMoP2Br, as listed in Alexandria.

abc: 4.5078 4.5078 5.2236
angles: 90.00 90.00 90.00
Closest atoms and distances in Å follow each position.
Space group P4/mmm (No. 123)
Symmetry-distinct sites (fractional):
V 0.0000 0.0000 0.0000  4 P 2.25
Mo 0.5000 0.5000 0.5000  4 Br 3.19, 8 P 3.45
P 0.0000 0.5000 0.0000  2 V 2.25
Br 0.0000 0.0000 0.5000  2 V 2.61

Calculated values
Formation energy from raw total energies (eV/f.u.): 3.866
Crystal system: tetragonal


(8)
First-principles (PBE-GGA) data for a relaxed structure of In3NiMo, as listed in Alexandria.

abc: 5.2470 5.2470 5.2470
angles: 90.00 90.00 90.00
Closest atoms and distances in Å follow each position.
Space group Pm-3m (No. 221)
Symmetry-distinct sites (fractional):
In 0.0000 0.0000 0.5000  2 Mo 2.62
Ni 0.5000 0.5000 0.5000  12 In 3.71
Mo 0.0000 0.0000 0.0000  6 In 2.62

Calculated values
Formation energy from the elements (eV/atom): 1.107
Crystal system: cubic


(9)
First-principles (PBE-GGA) data for a relaxed structure of ScMnTl2, as listed in Alexandria.

abc: 3.3476 3.3476 29.0772
angles: 90.00 90.00 120.00
Closest atoms and distances in Å follow each position.
Space group R3m (No. 160, hexagonal axes)
Symmetry-distinct sites (fractional):
Sc 0.0000 0.0000 0.0000  3 Mn 2.83
Mn 0.0000 0.0000 0.7378  3 Sc 2.83, 3 Tl 3.04
Tl 0.0000 0.0000 0.2462  3 Sc 3.19, 9 Tl 3.35-3.36
Tl 0.0000 0.0000 0.4849  3 Mn 3.04, 9 Tl 3.35-3.36

Calculated values
Formation energy from the elements (eV/atom): 0.223
Crystal system: trigonal


(10)
First-principles (PBE-GGA) data for a relaxed structure of Tb7Dy6Er16, as listed in Alexandria.

abc: 15.5862 15.5862 15.5862
angles: 90.00 90.00 90.00
Closest atoms and distances in Å follow each position.
Space group Fm-3m (No. 225)
Symmetry-distinct sites (fractional):
Tb 0.0000 0.0000 0.0000  8 Er 3.36
Tb 0.0000 0.2500 0.2500  8 Er 3.21-3.38
Dy 0.0000 0.0000 0.2740  8 Er 3.53-3.60, 4 Tb 3.91
Er 0.1244 0.1244 0.1244  4 Tb 3.36-3.38, 3 Er 3.55, 3 Dy 3.60
Er 0.1511 0.1511 0.3489  3 Tb 3.21, 3 Dy 3.53, 3 Er 3.55

Calculated values
Formation energy from the elements (eV/atom): 0.256
Crystal system: cubic


(11)
First-principles (PBE-GGA) data for a relaxed structure of Na2Zn2Cu, as listed in Alexandria.

abc: 6.4664 6.4664 5.0288
angles: 90.00 90.00 90.00
Closest atoms and distances in Å follow each position.
Space group P4/mbm (No. 127)
Symmetry-distinct sites (fractional):
Na 0.1788 0.3212 0.0000  6 Zn 3.00-3.27, 5 Na 3.27-3.36
Zn 0.1418 0.6418 0.5000  2 Cu 2.49, 1 Zn 2.59
Cu 0.0000 0.0000 0.5000  4 Zn 2.49

Calculated values
Formation energy from the elements (eV/atom): 0.095
Crystal system: tetragonal


(12)
First-principles (PBE-GGA) data for a relaxed structure of La3Al2Au9, as listed in Alexandria.

abc: 4.3385 10.7384 13.1837
angles: 90.00 90.00 90.00
Closest atoms and distances in Å follow each position.
Space group Immm (No. 71)
Symmetry-distinct sites (fractional):
La 0.0000 0.0000 0.0000  12 Au 3.27-3.54
La 0.0000 0.0000 0.3010  10 Au 3.23-3.40, 2 Al 3.40
Al 0.0000 0.2017 0.5000  6 Au 2.72-2.74
Au 0.0000 0.2902 0.1274  2 Al 2.74, 4 Au 2.79-3.02
Au 0.0000 0.3706 0.3466  1 Al 2.72, 4 Au 2.78-3.02
Au 0.0000 0.5000 0.0000  4 Au 2.81, 4 Al 3.07

Calculated values
Formation energy from the elements (eV/atom): -0.659
Crystal system: orthorhombic


(13)
First-principles (PBE-GGA) data for a relaxed structure of La12TbMg3, as listed in Alexandria.

abc: 5.1419 5.1419 20.6335
angles: 90.00 90.00 90.00
Closest atoms and distances in Å follow each position.
Space group P4/mmm (No. 123)
Symmetry-distinct sites (fractional):
La 0.0000 0.0000 0.0000  8 La 3.62, 4 Mg 3.64
La 0.0000 0.0000 0.2484  8 La 3.63-3.64, 4 Mg 3.64
La 0.0000 0.0000 0.5000  4 Tb 3.64, 8 La 3.67
La 0.0000 0.5000 0.1238  4 Mg 3.62, 8 La 3.62-3.64
La 0.0000 0.5000 0.3728  8 La 3.63-3.67, 2 Mg 3.65, 2 Tb 3.67
Tb 0.5000 0.5000 0.5000  12 La 3.64-3.67
Mg 0.5000 0.5000 0.0000  12 La 3.62-3.64
Mg 0.5000 0.5000 0.2470  12 La 3.62-3.65

Calculated values
Formation energy from the elements (eV/atom): -0.015
Crystal system: tetragonal